First-principles (PBE-GGA) data for a relaxed structure of LaEr2Bi, as listed in the Alexandria database.

The energy of formation from the pure elements is -8.446 kcal/mol of atoms. The value obtained for the excess energy over the best structure of this formula in the dataset is 0 meV per atom. Its space-group type is P4/mmm, No. 123.

Geometry as POSCAR:
```
LaEr2Bi
1.0
4.9397 0.0000 0.0000
0.0000 4.9397 0.0000
0.0000 0.0000 4.9098
La Er Bi
1 2 1
Cartesian
0.0000 0.0000 0.0000
0.0000 2.4698 2.4549
2.4698 0.0000 2.4549
2.4698 2.4698 0.0000
```

---

First-principles (PBE-GGA) data for a relaxed structure of HoTlZnS3, as listed in the Alexandria database.

The value obtained for the uncorrected formation energy is -7.27 eV per formula unit. Its space-group type is P2_1/m, No. 11.

Geometry as POSCAR:
```
HoTlZnS3
1.0
8.8075 0.0000 0.0000
0.0000 3.9768 0.0000
-2.8914 0.0000 9.0082
Ho Tl Zn S
2 2 2 6
Cartesian
1.0843 0.9942 1.2835
4.8318 2.9826 7.7246
0.2863 2.9826 7.0311
5.6298 0.9942 1.9771
2.5592 2.9826 3.5171
3.3569 0.9942 5.4910
-2.1121 0.9942 7.6156
1.3515 0.9942 4.1388
2.9717 2.9826 1.2319
2.9444 0.9942 7.7763
4.5646 2.9826 4.8694
8.0282 2.9826 1.3926
```

---

First-principles (PBE-GGA) data for a relaxed structure of Pu8Ir3Au2, as listed in the Alexandria database.

The energy of formation from the pure elements is -5.053 kcal/mol of atoms. Its space-group type is C2/m, No. 12.

Geometry as POSCAR:
```
Pu8Ir3Au2
1.0
7.4189 -4.7178 0.0000
7.4189 4.7178 0.0000
-1.2554 0.0000 4.1422
Pu Ir Au
8 3 2
Cartesian
0.3468 0.0000 1.1464
4.3144 2.7542 3.6176
9.2679 2.7542 0.5246
5.0466 0.0000 1.6186
8.5357 0.0000 2.5236
4.3144 -2.7542 3.6176
9.2679 -2.7542 0.5246
13.2355 0.0000 2.9958
6.7912 2.1660 2.0711
7.4189 0.0000 0.0000
6.7912 -2.1660 2.0711
2.5430 0.0000 3.1147
11.0393 0.0000 1.0275
```

---

| no. | density of states at the Fermi level (states/eV/cell) |
| --- | --- |
| 1 | 5.56 |
| 2 | 0.00 |
| 3 | 51.54 |